Entry from Alexandria: a relaxed structure of MnAlPd6 (GGA-PBE).

Lattice parameters (Å, degrees): 4.6354 4.6354 7.1746 72.66 72.66 70.58
With the nearest neighbours (Å) after each atom.
Atoms (fractional coordinates):
Mn 0.5000 0.5000 0.5000  10 Pd 2.65-2.92
Al 0.0000 0.0000 0.0000  6 Pd 2.51
Pd 0.5539 0.0663 0.2984  1 Al 2.51, 4 Pd 2.61-2.77, 2 Mn 2.65-2.72
Pd 0.3490 0.3490 0.9375  1 Al 2.51, 3 Pd 2.74-2.77
Pd 0.4461 0.9337 0.7016  1 Al 2.51, 4 Pd 2.61-2.77, 2 Mn 2.65-2.72
Pd 0.6510 0.6510 0.0625  1 Al 2.51, 3 Pd 2.74-2.77
Pd 0.9337 0.4461 0.7016  1 Al 2.51, 4 Pd 2.61-2.77, 2 Mn 2.65-2.72
Pd 0.0663 0.5539 0.2984  1 Al 2.51, 4 Pd 2.61-2.77, 2 Mn 2.65-2.72

* magnetization: 4.4 Bohr magnetons per cell
* relative energy among the computed polymorphs: 242 meV per atom
* DOS(E_F): 4.77 states/eV per cell